[1]
Cu2ReAs | SCAN | PBEsol geometry

```
Cu2ReAs
1.0
-2.1944 1.3804 0.4082
-0.0333 -0.7588 2.5120
4.4462 6.4725 2.0141
As Cu Re
1 2 1
Cartesian
-1.1138 0.3108 1.4601
1.1733 1.7080 0.5315
3.2730 4.7645 1.4826
1.1093 3.5470 2.4672
```

Results
**Mass density**: 11.546 Mg/m³
**Volume**: 13.96 A^3/atom
**E_tot**: -120.336 eV for the cell shown
**Crystal system**: orthorhombic

***

[2]
ZrCdRu2 | SCAN | PBEsol geometry

```
ZrCdRu2
1.0
-2.8251 0.4319 1.4413
0.5318 -4.1612 2.2893
3.1228 3.9109 1.3950
Cd Ru Zr
1 2 1
Cartesian
0.2659 -2.0806 1.1447
-0.1126 -0.7940 3.5712
0.9421 0.9756 1.5544
-1.4125 0.2159 0.7206
```

Results
**Mass density**: 10.180 Mg/m³
**Volume**: 16.55 A^3/atom
**E_tot**: -130.530 eV for the cell shown
**Crystal system**: orthorhombic

***

[3]
TcRh | SCAN | PBEsol geometry

```
TcRh
1.0
2.7029 0.0000 0.0000
-1.3514 2.3407 0.0000
0.0000 0.0000 8.6336
Rh Tc
2 2
Cartesian
1.3514 0.7802 1.1229
0.0000 1.5605 7.5107
1.3514 0.7802 5.3841
0.0000 1.5605 3.2495
```

Results
**Mass density**: 12.215 Mg/m³
**Volume**: 13.66 A^3/atom
**E_tot**: -138.153 eV for the cell shown
**E above lowest polymorph**: 94 meV per atom
**Crystal system**: trigonal

***

[4]
Ag3Se2 | SCAN | PBEsol geometry

```
Ag3Se2
1.0
4.5769 0.0000 0.0000
-2.2885 3.9637 0.0000
0.0000 0.0000 5.5530
Se Ag
2 3
Cartesian
0.0000 2.6425 4.3132
2.2885 1.3212 1.2398
0.0000 0.0000 0.0000
0.0000 2.6425 1.6517
2.2885 1.3212 3.9013
```

Results
**Mass density**: 7.937 Mg/m³
**Volume**: 20.15 A^3/atom
**E_tot**: -134.257 eV for the cell shown
**E above lowest polymorph**: 18 meV per atom
**Uncorrected formation energy**: 0.00 eV per atom
**Crystal system**: trigonal

***

[5]
MgGaCuW2 | SCAN | PBEsol geometry

```
MgGaCuW2
1.0
4.5537 0.0000 0.0000
0.0000 4.5899 0.0000
0.0000 0.0000 4.5899
Mg Cu Ga W
1 1 1 2
Cartesian
2.2768 0.0000 0.0000
2.2768 2.2949 2.2949
0.0000 0.0000 0.0000
0.0000 0.0000 2.2949
0.0000 2.2949 0.0000
```

Results
**Mass density**: 9.092 Mg/m³
**Volume**: 19.19 A^3/atom
**E_tot**: -166.750 eV for the cell shown
**Crystal system**: tetragonal

***

[6]
Ta3MnB | SCAN | PBEsol geometry

```
Ta3MnB
1.0
4.4512 0.0000 0.0000
0.0000 4.4512 0.0000
0.0000 0.0000 4.4512
B Mn Ta
1 1 3
Cartesian
2.2256 2.2256 2.2256
0.0000 0.0000 0.0000
0.0000 2.2256 0.0000
0.0000 0.0000 2.2256
2.2256 0.0000 0.0000
```

Results
**Mass density**: 11.459 Mg/m³
**Volume**: 17.64 A^3/atom
**E_tot**: -217.989 eV for the cell shown
**Crystal system**: cubic

***

[7]
Mg2BeBi2 | SCAN | PBEsol geometry

```
Mg2BeBi2
1.0
-4.5800 -0.1195 0.0204
0.1818 -6.3381 3.7059
-0.0685 3.7054 6.3406
Be Mg Bi
2 4 4
Cartesian
0.0000 0.0000 0.0000
0.0567 -1.3164 5.0232
-2.3073 1.3987 4.6849
-2.2301 -1.0274 7.8092
-2.1594 -4.1509 5.3819
-2.2366 -1.7248 2.2577
0.0036 0.9731 6.5267
0.1061 -2.8190 7.3133
0.1097 -3.6059 3.5198
0.0073 0.1863 2.7332
```

Results
**Mass density**: 6.391 Mg/m³
**Volume**: 24.71 A^3/atom
**E_tot**: -340.226 eV for the cell shown
**Crystal system**: tetragonal

***

[8]
OsAu2Cl | SCAN | PBEsol geometry

```
OsAu2Cl
1.0
2.7514 0.0000 0.0000
0.0000 4.1423 0.0000
-1.3757 -2.0711 6.1881
Os Au Cl
1 2 1
Cartesian
0.0000 2.0711 0.0000
1.3757 2.0711 2.3976
0.0000 0.0000 3.7904
1.3757 0.0000 0.0000
```

Results
**Mass density**: 14.589 Mg/m³
**Volume**: 17.63 A^3/atom
**E_tot**: -215.278 eV for the cell shown
**E above lowest polymorph**: 137 meV per atom
**Uncorrected formation energy**: 0.72 eV per atom
**Crystal system**: orthorhombic

***

[9]
K3Sn5Cl3F10 | SCAN | PBEsol geometry

```
K3Sn5Cl3F10
1.0
-0.6890 -1.3148 -4.0147
-6.8210 -4.7829 5.0189
-12.9382 15.4664 -2.8447
K Sn Cl F
6 10 6 20
Cartesian
-6.4691 7.7332 -1.4224
-10.6633 0.4211 1.6922
-8.4177 -2.2633 2.1860
-12.0305 11.6320 -4.0265
-9.7849 8.9476 -3.5328
0.0000 0.0000 0.0000
-7.7808 0.0191 -0.9526
-12.6674 9.3496 -0.8879
-6.3781 3.9752 -0.2072
-14.0702 5.3935 -1.6333
-17.5937 11.9292 -0.8873
-9.3209 5.1695 -2.3751
-3.8249 0.9231 0.3541
-11.1273 4.1992 0.5345
-16.6233 8.4456 -2.1947
-2.8546 -2.5605 -0.9533
-10.5976 7.4535 -0.6222
-15.7283 7.0257 0.3985
-4.7199 2.3430 -2.2390
-9.8506 1.9153 -1.2184
-6.3025 -2.3262 -0.4382
-14.1457 11.6949 -1.4023
-8.0329 5.5775 -0.4480
-5.1534 5.4586 -0.9032
-16.9664 9.8190 -0.3038
-11.0911 10.5464 -1.5504
-12.4153 3.7912 -1.3926
-2.0338 1.7294 -0.2173
-15.2949 3.9102 -0.9373
-18.4144 7.6393 -1.6232
-12.5520 9.0414 -3.0886
-13.8952 13.4834 -4.3128
-7.3017 4.1162 -2.3766
-7.8962 0.3274 1.2480
-6.5530 -4.1147 2.4723
-3.4818 -0.4503 -1.5367
-17.8935 10.3399 -2.5971
-12.1416 2.5659 1.2435
-13.1465 5.2526 0.5361
-2.5547 -0.9712 0.7565
-9.3571 -1.1777 -0.2901
-8.3067 6.8028 -3.0841
```

Results
**Mass density**: 4.045 Mg/m³
**Volume**: 19.69 A^3/atom
**E_tot**: -624.427 eV for the cell shown
**Uncorrected formation energy**: -2.30 eV per atom
**Crystal system**: orthorhombic

***

[10]
Na3MnBPO7 | SCAN | PBEsol geometry

```
Na3MnBPO7
1.0
5.1145 0.0000 -0.0014
0.0000 6.9692 0.0000
-0.3134 0.0000 8.6567
Na Mn B P O
6 2 2 2 14
Cartesian
3.5520 1.7423 5.0045
1.2491 5.2269 3.6507
1.0071 0.0576 6.6046
1.0071 3.4270 6.6046
3.7940 3.5422 2.0506
3.7940 6.9116 2.0506
3.4126 5.2269 7.2528
1.3885 1.7423 1.4024
3.7908 5.2269 4.9251
1.0104 1.7423 3.7301
3.6820 1.7423 7.9413
1.1191 5.2269 0.7139
0.8046 1.7423 5.0493
3.9965 5.2269 3.6060
2.5332 5.2269 5.5527
2.2679 1.7423 3.1026
4.7829 5.2269 5.9244
0.0182 1.7423 2.7308
0.0775 1.7423 8.3830
4.7236 5.2269 0.2723
1.6584 5.2269 8.0755
3.1427 1.7423 0.5798
3.4047 0.4963 7.0821
3.4047 2.9883 7.0821
1.3964 3.9809 1.5731
1.3964 6.4728 1.5731
```

Results
**Mass density**: 2.989 Mg/m³
**Volume**: 11.87 A^3/atom
**E_tot**: -247.222 eV for the cell shown
**Uncorrected formation energy**: -2.40 eV per atom
**Crystal system**: monoclinic

***

What is the volume in the fifth record? 19.19 A^3/atom